Model P:
The following is a DFT calculation (GGA-PBE) of a relaxed BeTl2InMo crystal.

For the volume, the calculation gives 120 Å³ per cell.

It has space group P4/mmm (No. 123), with a = 4.948 Å, b = 4.948 Å, c = 4.886 Å, α = 90.00°, β = 90.00° and γ = 90.00°. The inequivalent atoms are Be at (0.000, 0.000, 0.000), Tl at (0.000, 0.500, 0.000), In at (0.000, 0.000, 0.500) and Mo at (0.500, 0.500, 0.500).

Model Q:
The following is a DFT calculation (GGA-PBE) of a relaxed BeTl2InMo crystal.

For the volume, the calculation gives 110 Å³ per cell.

It has space group P4/mmm (No. 123), with a = 4.870 Å, b = 4.870 Å, c = 4.650 Å, α = 90.00°, β = 90.00° and γ = 90.00°. The inequivalent atoms are Be at (0.000, 0.000, 0.000), Tl at (0.000, 0.500, 0.000), In at (0.500, 0.500, 0.500) and Mo at (0.000, 0.000, 0.500).

Relative energies, in meV/atom, with the most stable structure set to zero: model P 232; model Q 0.

Model P:
The following is a DFT calculation (GGA-PBE) of a relaxed Be3InN crystal.

For the volume, the calculation gives 94 Å³ per cell.

It has space group Pm-3m (No. 221), with a = 4.541 Å, b = 4.541 Å, c = 4.541 Å, α = 90.00°, β = 90.00° and γ = 90.00°. The inequivalent atoms are Be at (0.000, 0.000, 0.500), In at (0.000, 0.000, 0.000) and N at (0.500, 0.500, 0.500).

Model Q:
The following is a DFT calculation (GGA-PBE) of a relaxed Be3InN crystal.

For the volume, the calculation gives 53 Å³ per cell.

It has space group Pm-3m (No. 221), with a = 3.753 Å, b = 3.753 Å, c = 3.753 Å, α = 90.00°, β = 90.00° and γ = 90.00°. The inequivalent atoms are Be at (0.000, 0.000, 0.500), In at (0.500, 0.500, 0.500) and N at (0.000, 0.000, 0.000).

Relative energies, in meV/atom, with the most stable structure set to zero: model P 1771; model Q 0.

Model P:
The following is a DFT calculation (GGA-PBE) of a relaxed BeInSeN2 crystal.

For the volume, the calculation gives 74 Å³ per cell.

It has space group P4/mmm (No. 123), with a = 3.681 Å, b = 3.681 Å, c = 5.464 Å, α = 90.00°, β = 90.00° and γ = 90.00°. The inequivalent atoms are Be at (0.000, 0.000, 0.000), In at (0.500, 0.500, 0.500), Se at (0.000, 0.000, 0.500) and N at (0.000, 0.500, 0.000).

Model Q:
The following is a DFT calculation (GGA-PBE) of a relaxed BeInSeN2 crystal.

For the volume, the calculation gives 100 Å³ per cell.

It has space group P4/mmm (No. 123), with a = 4.119 Å, b = 4.119 Å, c = 5.910 Å, α = 90.00°, β = 90.00° and γ = 90.00°. The inequivalent atoms are Be at (0.000, 0.000, 0.000), In at (0.500, 0.500, 0.500), Se at (0.500, 0.500, 0.000) and N at (0.000, 0.500, 0.500).

Relative energies, in meV/atom, with the most stable structure set to zero: model P 0; model Q 643.

Model P:
The following is a DFT calculation (GGA-PBE) of a relaxed BeInTeN2 crystal.

For the volume, the calculation gives 90 Å³ per cell.

It has space group P4/mmm (No. 123), with a = 3.960 Å, b = 3.960 Å, c = 5.761 Å, α = 90.00°, β = 90.00° and γ = 90.00°. The inequivalent atoms are Be at (0.000, 0.000, 0.000), In at (0.500, 0.500, 0.500), Te at (0.000, 0.000, 0.500) and N at (0.000, 0.500, 0.000).

Model Q:
The following is a DFT calculation (GGA-PBE) of a relaxed BeInTeN2 crystal.

For the volume, the calculation gives 110 Å³ per cell.

It has space group P4/mmm (No. 123), with a = 4.184 Å, b = 4.184 Å, c = 6.307 Å, α = 90.00°, β = 90.00° and γ = 90.00°. The inequivalent atoms are Be at (0.000, 0.000, 0.000), In at (0.500, 0.500, 0.500), Te at (0.500, 0.500, 0.000) and N at (0.000, 0.500, 0.500).

Relative energies, in meV/atom, with the most stable structure set to zero: model P 0; model Q 360.